(1)
DFT (GGA-PBE) results for a relaxed LiSm5Hg3 crystal.

abc: 9.2514 9.2514 6.8241
angles: 90.00 90.00 120.00
Space group P6_3/mcm (No. 193)
Inequivalent atoms, fractional coordinates:
Li 0.0000 0.0000 0.0000
Sm 0.0000 0.3076 0.2500
Sm 0.3333 0.6667 0.0000
Hg 0.0000 0.3538 0.7500

Calculated values
Raw total energy = -57.7 eV per cell
Energy of formation = -0.270 eV per atom

=====

(2)
DFT (GGA-PBE) results for a relaxed LiSm2Hg2 crystal.

abc: 4.400 6.639 8.969
angles: 90.00 90.00 90.00
Space group Immm (No. 71)
Inequivalent atoms, fractional coordinates:
Li 0.000 0.000 0.000
Sm 0.000 0.500 0.203
Hg 0.000 0.238 0.500

Calculated values
E above lowest polymorph = 0.0 kJ/mol of atoms
Raw total energy = -27.3 eV per cell
Energy of formation = -0.335 eV per atom

=====

(3)
DFT (GGA-PBE) results for a relaxed LiSm4Hg2 crystal.

abc: 5.2786 5.2786 25.2230
angles: 90.00 90.00 120.00
Space group R-3m (No. 166, hexagonal axes)
Inequivalent atoms, fractional coordinates:
Li 0.0000 0.0000 0.0000
Sm 0.0000 0.0000 0.1320
Sm 0.0000 0.0000 0.3849
Hg 0.0000 0.0000 0.2587

Calculated values
E above lowest polymorph = 0.0 kJ/mol of atoms
Raw total energy = -67.9 eV per cell
Energy of formation = -0.177 eV per atom

=====

(4)
DFT (GGA-PBE) results for a relaxed Li4Sm3Hg4 crystal.

abc: 4.583 7.716 14.512
angles: 90.00 90.00 90.00
Space group Immm (No. 71)
Inequivalent atoms, fractional coordinates:
Li 0.000 0.186 0.177
Sm 0.000 0.000 0.383
Sm 0.000 0.500 0.500
Hg 0.000 0.297 0.000
Hg 0.000 0.500 0.276

Calculated values
E above lowest polymorph = 0.0 kJ/mol of atoms
Raw total energy = -53.3 eV per cell
Energy of formation = -0.331 eV per atom

=====

(5)
DFT (GGA-PBE) results for a relaxed LiSmHg crystal.

abc: 3.826 3.826 9.842
angles: 90.00 90.00 90.00
Space group I4mm (No. 107)
Inequivalent atoms, fractional coordinates:
Li 0.000 0.000 0.000
Sm 0.000 0.000 0.312
Hg 0.000 0.000 0.634

Calculated values
E above lowest polymorph = 8.6 kJ/mol of atoms
Raw total energy = -15.4 eV per cell
Energy of formation = -0.262 eV per atom

=====

(6)
DFT (GGA-PBE) results for a relaxed LiSm5Hg6 crystal.

abc: 9.111 16.017 5.279
angles: 90.00 125.28 90.00
Space group C2/m (No. 12)
Inequivalent atoms, fractional coordinates:
Li 0.000 0.000 0.000
Sm 0.000 0.163 0.500
Sm 0.000 0.332 0.000
Sm 0.000 0.500 0.500
Hg 0.239 0.000 0.740
Hg 0.241 0.160 0.241

Calculated values
Raw total energy = -65.5 eV per cell
Energy of formation = -0.453 eV per atom

=====

no.,size of the total moment (μB/f.u.),N(E_F) (states/eV per cell)
1,0.0,22.2
2,0.0,9.5
3,0.8,27.3
4,0.0,17.2
5,0.1,2.9
6,0.0,23.4